## Ti2SiNi4 (PBE)

Data for an optimized crystal structure of Ti2SiNi4.

The uncorrected energy is -85.16 eV/cell. As for the calculated volume: 211.0 Å³/cell. Its uncorrected formation energy is 0.25 eV/atom.

The structure belongs to space group I4/mmm (No. 139); the cell edges are 4.112, 4.112 and 12.482 Å and the angles 90.00°, 90.00° and 90.00°. Symmetry generates all atoms from Ti at (0.000, 0.000, 0.141), Si at (0.000, 0.000, 0.500), Ni at (0.000, 0.000, 0.322) and Ni at (0.000, 0.500, 0.000).

---

## ThSe2I (PBE)

Data for an optimized crystal structure of ThSe2I.

The uncorrected energy is -40.19 eV/cell. As for the calculated volume: 348.0 Å³/cell. Its uncorrected formation energy is -1.04 eV/atom.

The structure belongs to space group Cm (No. 8); the cell edges are 7.439, 4.296 and 10.891 Å and the angles 90.00°, 90.25° and 90.00°. Symmetry generates all atoms from Th at (0.000, 0.000, 0.000), Se at (0.166, 0.500, 0.859), Se at (0.334, 0.000, 0.141) and I at (0.164, 0.500, 0.483).

---

## MgSc2Nb (PBE)

Data for an optimized crystal structure of MgSc2Nb.

The uncorrected energy is -48.45 eV/cell. The formation energy is 0.026 eV/atom. The calculation puts the energy above the most stable polymorph in this dataset at 0 meV per atom. As for the calculated volume: 175.7 Å³/cell.

The structure belongs to space group Cmmm (No. 65); the cell edges are 4.013, 4.584 and 9.551 Å and the angles 90.00°, 90.00° and 90.00°. Symmetry generates all atoms from Mg at (0.000, 0.000, 0.000), Sc at (0.000, 0.500, 0.270) and Nb at (0.000, 0.000, 0.500).